# 1
Material: Zr2Be2Au
Method: DFT, PBE
State: relaxed

Properties
Crystal system: tetragonal
Energy relative to the elements (kJ per mole of atoms): -39.0
Energy above the most stable polymorph in this dataset (meV per atom): 0
Magnetization (μB per formula unit): 0.00

The structure in extended XYZ format:
```
10
Lattice="6.417 0.000 0.000 0.000 6.417 0.000 0.000 0.000 3.848" Properties=species:S:1:pos:R:3 pbc="T T T"
Be 4.002 0.793 0.000
Zr 2.109 1.099 1.924
Be 2.415 5.623 0.000
Zr 1.099 4.308 1.924
Au 3.208 3.208 0.000
Zr 4.308 5.317 1.924
Be 0.793 2.415 0.000
Au 0.000 0.000 0.000
Zr 5.317 2.109 1.924
Be 5.623 4.002 0.000
```

# 2
Material: BaScTl
Method: DFT, PBE
State: relaxed

Properties
Crystal system: orthorhombic
Energy relative to the elements (kJ per mole of atoms): -11.4
Energy above the most stable polymorph in this dataset (meV per atom): 159
Magnetization (μB per formula unit): 0.00

The structure in extended XYZ format:
```
6
Lattice="-4.898 3.179 -4.125 -5.310 -5.473 -3.390 -1.006 3.189 3.650" Properties=species:S:1:pos:R:3 pbc="T T T"
Sc -7.207 4.761 -1.333
Tl -5.847 -4.328 -3.086
Ba -5.071 1.627 -1.361
Tl -8.343 2.561 -3.080
Ba -7.926 -1.184 -3.047
Sc -4.701 -2.150 -1.317
```

# 3
Material: TiNi3As
Method: DFT, PBE
State: relaxed

Properties
Crystal system: cubic
Energy relative to the elements (kJ per mole of atoms): 88.3
Energy above the most stable polymorph in this dataset (meV per atom): 889
Magnetization (μB per formula unit): 0.00

The structure in extended XYZ format:
```
5
Lattice="-1.883 3.852 -0.772 -3.688 -2.028 -1.123 -1.352 0.168 4.137" Properties=species:S:1:pos:R:3 pbc="T T T"
Ni -1.844 -1.014 -0.562
Ti 0.000 0.000 0.000
Ni -0.676 0.084 2.069
As -3.462 0.996 1.121
Ni -0.941 1.926 -0.386
```

# 4
Material: ErSc3Bi2
Method: DFT, PBE
State: relaxed

Properties
Crystal system: tetragonal
Energy relative to the elements (kJ per mole of atoms): -49.3
Energy above the most stable polymorph in this dataset (meV per atom): 0
Magnetization (μB per formula unit): 0.66

The structure in extended XYZ format:
```
6
Lattice="4.383 0.000 0.000 0.000 4.383 0.000 0.000 0.000 8.128" Properties=species:S:1:pos:R:3 pbc="T T T"
Sc 0.000 2.191 5.388
Sc 0.000 0.000 0.000
Bi 0.000 2.191 2.371
Sc 2.191 0.000 2.740
Bi 2.191 0.000 5.758
Er 2.191 2.191 0.000
```

# 5
Material: ScSnAu
Method: DFT, PBE
State: relaxed

Properties
Crystal system: monoclinic
Energy relative to the elements (kJ per mole of atoms): -54.6
Magnetization (μB per formula unit): 0.00

The structure in extended XYZ format:
```
6
Lattice="4.175 0.000 0.000 0.000 4.391 0.023 0.000 -2.206 6.868" Properties=species:S:1:pos:R:3 pbc="T T T"
Sc 2.816 2.241 5.692
Sc 2.816 0.049 3.088
Sn 2.816 2.250 1.063
Au 0.728 2.252 3.324
Sn 0.728 0.049 5.295
Au 0.728 0.058 0.948
```

# 6
Material: Tb2SeCl2
Method: DFT, PBE
State: relaxed

Properties
Uncorrected formation energy (eV per atom): -1.908
Crystal system: monoclinic
Magnetization (μB per formula unit): 0.00

The structure in extended XYZ format:
```
5
Lattice="4.022 0.000 0.000 -2.011 3.484 -0.032 0.000 -0.014 10.159" Properties=species:S:1:pos:R:3 pbc="T T T"
Cl 0.000 1.125 1.877
Se 2.011 -0.007 5.080
Tb 2.011 2.301 3.485
Tb 0.000 1.169 6.643
Cl 2.011 2.345 8.251
```

# 7
Material: Rb2BrF
Method: DFT, PBE
State: relaxed

Properties
Uncorrected formation energy (eV per atom): -2.014
Crystal system: cubic
Energy above the most stable polymorph in this dataset (meV per atom): 165
Magnetization (μB per formula unit): 0.00

The structure in extended XYZ format:
```
4
Lattice="-1.075 1.966 5.071 -4.753 2.679 0.985 -3.924 -2.371 3.118" Properties=species:S:1:pos:R:3 pbc="T T T"
F 0.000 0.000 0.000
Rb -7.314 1.705 6.880
Rb -2.438 0.568 2.293
Br -4.876 1.137 4.587
```

# 8
Material: La8As3SI4
Method: DFT, PBE
State: relaxed

Properties
Uncorrected formation energy (eV per atom): -1.460
Crystal system: trigonal
Magnetization (μB per formula unit): 0.00

The structure in extended XYZ format:
```
16
Lattice="-2.173 -8.461 -0.349 8.482 -2.297 2.878 -4.678 5.515 4.912" Properties=species:S:1:pos:R:3 pbc="T T T"
La 0.757 -7.088 0.748
La -0.255 -2.550 6.510
La 0.874 1.846 6.692
La 2.162 -5.239 4.052
La 1.886 -2.693 0.930
S 4.241 -1.149 1.439
As 3.154 -5.379 1.264
La 3.304 -1.019 4.140
As 0.815 -2.621 3.720
I 0.000 0.000 0.000
As 1.902 1.609 3.895
I -2.339 2.758 2.456
I -3.426 -1.473 2.281
La -1.673 -4.223 3.300
La -0.531 -0.003 3.388
I -1.087 -4.230 -0.175
```

# 9
Material: Y2BeH2
Method: DFT, PBE
State: relaxed

Properties
Crystal system: tetragonal
Energy above the most stable polymorph in this dataset (meV per atom): 0
Magnetization (μB per formula unit): 0.00

The structure in extended XYZ format:
```
5
Lattice="3.569 0.000 0.000 0.000 3.569 0.000 1.785 1.785 6.004" Properties=species:S:1:pos:R:3 pbc="T T T"
H 3.569 1.785 3.002
Be 0.000 0.000 0.000
H 1.785 3.569 3.002
Y 3.569 3.569 4.307
Y 1.785 1.785 1.697
```

# 10
Material: Ba2TcRh3O12
Method: DFT, PBE
State: relaxed

Properties
Uncorrected formation energy (eV per atom): -1.279
Crystal system: trigonal
Magnetization (μB per formula unit): 0.00

The structure in extended XYZ format:
```
18
Lattice="-0.966 3.923 6.033 -4.668 -2.009 5.187 2.244 -2.328 6.501" Properties=species:S:1:pos:R:3 pbc="T T T"
Rh 1.122 -1.164 3.251
O -0.829 2.385 4.941
O 0.481 0.903 8.763
O -3.870 -1.317 8.958
Ba -2.092 -0.256 10.941
Ba -1.297 -0.158 6.780
O -1.698 2.164 9.455
O 0.185 -1.504 9.729
O 1.146 -1.461 5.229
O -4.535 1.047 12.492
O -3.575 1.090 7.992
Rh -2.334 -1.004 2.593
Rh -0.483 1.962 3.017
O -3.107 -1.264 4.420
O -2.560 -2.799 12.780
O -0.283 0.851 13.301
O -1.691 -2.577 8.266
Tc 0.000 0.000 0.000
```

# 11
Material: LiGaMoRh2
Method: DFT, PBE
State: relaxed

Properties
Crystal system: tetragonal
Energy relative to the elements (kJ per mole of atoms): 69.0
Magnetization (μB per formula unit): 1.90

The structure in extended XYZ format:
```
5
Lattice="-0.976 0.053 3.999 3.861 -1.682 0.964 1.569 3.792 0.332" Properties=species:S:1:pos:R:3 pbc="T T T"
Rh -0.488 0.027 2.000
Ga 2.227 1.082 2.648
Mo 1.930 -0.841 0.482
Rh 0.784 1.896 0.166
Li 0.000 0.000 0.000
```

# 12
Material: Sc2BeAu
Method: DFT, PBE
State: relaxed

Properties
Crystal system: monoclinic
Energy relative to the elements (kJ per mole of atoms): -10.3
Magnetization (μB per formula unit): 0.00

The structure in extended XYZ format:
```
4
Lattice="4.442 -0.034 0.023 3.083 3.199 0.023 1.381 0.581 5.512" Properties=species:S:1:pos:R:3 pbc="T T T"
Be 2.227 0.936 1.389
Au 6.680 2.809 4.168
Sc 4.468 1.879 2.666
Sc 7.511 3.158 0.158
```

# 13
Material: Ca3TaNb
Method: DFT, PBE
State: relaxed

Properties
Crystal system: cubic
Energy relative to the elements (kJ per mole of atoms): 173.0
Energy above the most stable polymorph in this dataset (meV per atom): 0
Magnetization (μB per formula unit): 0.00

The structure in extended XYZ format:
```
5
Lattice="-0.354 3.023 -4.404 -4.886 1.600 1.491 2.159 4.118 2.653" Properties=species:S:1:pos:R:3 pbc="T T T"
Ta -1.541 4.371 -0.129
Ca -2.443 0.800 0.746
Nb 0.000 0.000 0.000
Ca -0.177 1.512 -2.202
Ca 1.079 2.059 1.327
```

# 14
Material: Nd4Tm5Al
Method: DFT, PBE
State: relaxed

Properties
Crystal system: tetragonal
Energy relative to the elements (kJ per mole of atoms): -6.1
Energy above the most stable polymorph in this dataset (meV per atom): 0
Magnetization (μB per formula unit): 0.00

The structure in extended XYZ format:
```
10
Lattice="-0.218 -0.667 -3.499 3.556 0.159 -0.251 1.366 -23.623 4.420" Properties=species:S:1:pos:R:3 pbc="T T T"
Al 0.000 0.000 0.000
Nd 1.116 -19.297 3.610
Tm 2.639 -17.030 1.264
Nd 0.826 -14.290 2.674
Tm 2.931 -22.080 2.208
Nd 0.250 -4.326 0.809
Tm 2.065 -7.102 -0.594
Tm 2.352 -12.066 0.335
Tm 1.773 -2.052 -1.539
Nd 0.540 -9.333 1.746
```

# 15
Material: HfUGa2
Method: DFT, PBE
State: relaxed

Properties
Crystal system: tetragonal
Energy relative to the elements (kJ per mole of atoms): -23.3
Energy above the most stable polymorph in this dataset (meV per atom): 0
Magnetization (μB per formula unit): 2.21

The structure in extended XYZ format:
```
4
Lattice="2.995 0.000 0.000 0.000 2.995 0.000 0.000 0.000 8.554" Properties=species:S:1:pos:R:3 pbc="T T T"
Ga 0.000 0.000 2.013
U 1.498 1.498 4.277
Hf 1.498 1.498 0.000
Ga 0.000 0.000 6.541
```

# 16
Material: Pr5Er12Tm2
Method: DFT, PBE
State: relaxed

Properties
Crystal system: monoclinic
Energy relative to the elements (kJ per mole of atoms): 17.7
Energy above the most stable polymorph in this dataset (meV per atom): 66
Magnetization (μB per formula unit): 0.00

The structure in extended XYZ format:
```
19
Lattice="-4.723 -0.305 -5.204 6.133 -7.659 -0.363 -4.402 -8.243 4.477" Properties=species:S:1:pos:R:3 pbc="T T T"
Er -4.415 -6.734 -2.707
Er 1.423 -9.473 1.617
Er -3.774 -2.827 -1.163
Er -0.042 -12.423 3.168
Er -0.563 -3.629 -1.627
Er -2.950 -3.783 -4.258
Er -2.076 -6.583 -0.130
Pr 1.483 -6.714 -0.952
Tm -1.289 -0.083 -1.420
Tm -3.434 -0.222 -3.783
Pr -0.791 -6.531 -3.653
Pr -4.475 -9.492 -0.137
Er 0.150 -9.603 -4.328
Er -3.142 -6.603 3.238
Er -0.915 -9.624 -0.960
Pr -2.201 -4.121 2.239
Er 0.782 -13.379 0.074
Pr -2.201 -9.676 2.564
Er -2.429 -12.577 0.538
```